# 1
Computed, not measured: CaPdPt4 after structural relaxation at the GGA-PBE level of DFT.

The calculation puts the energy of formation at -2.83 eV/f.u. For the total magnetization, the calculation gives 0.00 μB/f.u.

Geometry as POSCAR:
```
CaPdPt4
1.0
0.000 3.771 3.771
3.771 0.000 3.771
3.771 3.771 0.000
Ca Pd Pt
1 1 4
direct
0.000 0.000 0.000 Ca
0.250 0.250 0.250 Pd
0.126 0.625 0.625 Pt
0.625 0.126 0.625 Pt
0.625 0.625 0.126 Pt
0.625 0.625 0.625 Pt
```



# 2
Computed, not measured: ZnSbTe2N after structural relaxation at the GGA-PBE level of DFT.

The value obtained for the polymorph energy (0 for the lowest one) is 0.6972 eV/atom. The calculation puts the formation energy (no corrections) at 136.35 kJ per mole of atoms. For the total magnetization, the calculation gives 2.63 μB/f.u.

Geometry as POSCAR:
```
ZnSbTe2N
1.0
5.392 0.000 0.000
0.000 5.392 0.000
0.000 0.000 5.195
Zn Sb Te N
1 1 2 1
direct
0.000 0.000 0.000 Zn
0.000 0.000 0.500 Sb
0.000 0.500 0.000 Te
0.500 0.000 0.000 Te
0.500 0.500 0.500 N
```



# 3
Computed, not measured: KMg3I after structural relaxation at the GGA-PBE level of DFT.

The value obtained for the polymorph energy (0 for the lowest one) is 0.0000 eV/atom. The calculation puts the formation energy (no corrections) at 36.90 kJ per mole of atoms. For the total magnetization, the calculation gives 0.00 μB/f.u.

Geometry as POSCAR:
```
KMg3I
1.0
6.180 0.000 0.000
0.000 6.180 0.000
0.000 0.000 6.180
K Mg I
1 3 1
direct
0.000 0.000 0.000 K
0.000 0.500 0.500 Mg
0.500 0.000 0.500 Mg
0.500 0.500 0.000 Mg
0.500 0.500 0.500 I
```



# 4
Computed, not measured: Li3YMo after structural relaxation at the GGA-PBE level of DFT.

The value obtained for the polymorph energy (0 for the lowest one) is 0.0000 eV/atom. The calculation puts the energy of formation at 4.92 eV/f.u. For the total magnetization, the calculation gives 2.55 μB/f.u.

Geometry as POSCAR:
```
Li3YMo
1.0
4.824 0.000 0.000
0.000 4.824 0.000
0.000 0.000 4.824
Li Y Mo
3 1 1
direct
0.000 0.000 0.500 Li
0.000 0.500 0.000 Li
0.500 0.000 0.000 Li
0.500 0.500 0.500 Y
0.000 0.000 0.000 Mo
```



# 5
Computed, not measured: KRb2Ca after structural relaxation at the GGA-PBE level of DFT.

The value obtained for the polymorph energy (0 for the lowest one) is 0.0000 eV/atom. The calculation puts the energy of formation at 0.56 eV/f.u. For the total magnetization, the calculation gives 0.00 μB/f.u.

Geometry as POSCAR:
```
KRb2Ca
1.0
7.806 0.000 0.000
0.000 4.494 0.000
-2.391 0.000 15.534
K Rb Ca
2 4 2
direct
0.000 0.000 0.000 K
0.500 0.500 0.000 K
0.078 0.500 0.734 Rb
0.422 0.000 0.266 Rb
0.578 0.000 0.734 Rb
0.922 0.500 0.266 Rb
0.167 0.000 0.500 Ca
0.667 0.500 0.500 Ca
```



# 6
Computed, not measured: Sc3AgO after structural relaxation at the GGA-PBE level of DFT.

The value obtained for the polymorph energy (0 for the lowest one) is 0.7510 eV/atom. The calculation puts the formation energy (no corrections) at -59.42 kJ per mole of atoms. For the total magnetization, the calculation gives 0.00 μB/f.u.

Geometry as POSCAR:
```
Sc3AgO
1.0
3.233 -7.616 0.000
3.233 7.616 0.000
0.000 0.000 5.383
Sc Ag O
6 2 2
direct
0.000 0.000 0.000 Sc
0.000 0.000 0.500 Sc
0.082 0.424 0.750 Sc
0.424 0.082 0.250 Sc
0.576 0.918 0.750 Sc
0.918 0.576 0.250 Sc
0.169 0.831 0.750 Ag
0.831 0.169 0.250 Ag
0.394 0.606 0.750 O
0.606 0.394 0.250 O
```



# 7
Computed, not measured: Na4CeAs4O14 after structural relaxation at the GGA-PBE level of DFT.

The calculation puts the formation energy (no corrections) at -168.48 kJ per mole of atoms. For the total magnetization, the calculation gives 0.00 μB/f.u.

Geometry as POSCAR:
```
Na4CeAs4O14
1.0
10.993 0.000 0.000
0.000 10.993 0.000
0.000 0.000 10.419
Na Ce As O
16 4 16 56
direct
0.101 0.675 0.104 Na
0.101 0.825 0.604 Na
0.175 0.601 0.396 Na
0.175 0.899 0.896 Na
0.325 0.601 0.896 Na
0.325 0.899 0.396 Na
0.399 0.675 0.604 Na
0.399 0.825 0.104 Na
0.601 0.175 0.896 Na
0.601 0.325 0.396 Na
0.675 0.101 0.604 Na
0.675 0.399 0.104 Na
0.825 0.101 0.104 Na
0.825 0.399 0.604 Na
0.899 0.175 0.396 Na
0.899 0.325 0.896 Na
0.250 0.250 0.430 Ce
0.250 0.250 0.930 Ce
0.750 0.750 0.070 Ce
0.750 0.750 0.570 Ce
0.024 0.149 0.677 As
0.024 0.351 0.177 As
0.149 0.024 0.177 As
0.149 0.476 0.677 As
0.351 0.024 0.677 As
0.351 0.476 0.177 As
0.476 0.149 0.177 As
0.476 0.351 0.677 As
0.524 0.649 0.323 As
0.524 0.851 0.823 As
0.649 0.524 0.823 As
0.649 0.976 0.323 As
0.851 0.524 0.323 As
0.851 0.976 0.823 As
0.976 0.649 0.823 As
0.976 0.851 0.323 As
0.000 0.000 0.250 O
0.000 0.000 0.750 O
0.000 0.500 0.250 O
0.000 0.500 0.750 O
0.071 0.239 0.802 O
0.071 0.261 0.302 O
0.112 0.697 0.881 O
0.112 0.803 0.381 O
0.117 0.124 0.057 O
0.117 0.376 0.557 O
0.124 0.117 0.557 O
0.124 0.383 0.057 O
0.197 0.612 0.619 O
0.197 0.888 0.119 O
0.239 0.071 0.302 O
0.239 0.429 0.802 O
0.261 0.071 0.802 O
0.261 0.429 0.302 O
0.303 0.612 0.119 O
0.303 0.888 0.619 O
0.376 0.117 0.057 O
0.376 0.383 0.557 O
0.383 0.124 0.557 O
0.383 0.376 0.057 O
0.388 0.697 0.381 O
0.388 0.803 0.881 O
0.429 0.239 0.302 O
0.429 0.261 0.802 O
0.500 0.000 0.250 O
0.500 0.000 0.750 O
0.500 0.500 0.250 O
0.500 0.500 0.750 O
0.571 0.739 0.198 O
0.571 0.761 0.698 O
0.612 0.197 0.119 O
0.612 0.303 0.619 O
0.617 0.624 0.943 O
0.617 0.876 0.443 O
0.624 0.617 0.443 O
0.624 0.883 0.943 O
0.697 0.112 0.381 O
0.697 0.388 0.881 O
0.739 0.571 0.698 O
0.739 0.929 0.198 O
0.761 0.571 0.198 O
0.761 0.929 0.698 O
0.803 0.112 0.881 O
0.803 0.388 0.381 O
0.876 0.617 0.943 O
0.876 0.883 0.443 O
0.883 0.624 0.443 O
0.883 0.876 0.943 O
0.888 0.197 0.619 O
0.888 0.303 0.119 O
0.929 0.739 0.698 O
0.929 0.761 0.198 O
```



# 8
Computed, not measured: Er8Ni3Sb2 after structural relaxation at the GGA-PBE level of DFT.

The calculation puts the formation energy (no corrections) at -38.99 kJ per mole of atoms. For the total magnetization, the calculation gives 0.00 μB/f.u.

Geometry as POSCAR:
```
Er8Ni3Sb2
1.0
7.894 -3.597 0.000
7.894 3.597 0.000
-1.404 0.000 6.345
Er Ni Sb
8 3 2
direct
0.072 0.072 0.350 Er
0.150 0.638 0.133 Er
0.362 0.850 0.867 Er
0.374 0.374 0.633 Er
0.626 0.626 0.367 Er
0.638 0.150 0.133 Er
0.850 0.362 0.867 Er
0.928 0.928 0.650 Er
0.313 0.687 0.500 Ni
0.500 0.500 0.000 Ni
0.687 0.313 0.500 Ni
0.237 0.237 0.187 Sb
0.763 0.763 0.813 Sb
```